SiW2: optimized geometry, PBE.

Values from the calculation:
Formation energy (no corrections), eV/atom: 0.603
M_tot, μB/f.u.: 0.0
Raw total energy, eV per atom: -9.840
Offset from the most stable computed form, meV per atom: 754.0
Crystal system: cubic
Space group: No. 225
V, Å³/atom: 16.760

Cell lengths 4.1429, 4.1429, 4.1429 Å; angles 60.00, 60.00, 60.00 degrees
Closest atoms and distances in Å follow each position.
Atoms (fractional coordinates):
W (0.2500, 0.2500, 0.2500)  4 Si 2.54
Si (0.0000, 0.0000, 0.0000)  8 W 2.54
W (0.7500, 0.7500, 0.7500)  4 Si 2.54